The following is a DFT calculation (PBE-GGA) of a relaxed Mn2CuHPd crystal.

Summary:
Density, Mg/m³: 8.1
VASP energy, eV/atom: -6.1634
Density of states at the Fermi level, states/eV/cell: 3.04

abc: 3.9324 3.9324 3.7462
angles: 90.00 90.00 90.00
Atoms (fractional coordinates):
Mn  0.0000  0.5000  0.0000
Mn  0.5000  0.0000  0.0000
Cu  0.0000  0.0000  0.5000
H  0.0000  0.0000  0.0000
Pd  0.5000  0.5000  0.5000